Record 1
Density functional theory data (GGA-PBE) for a geometry-optimized NaCaAl2 structure.

Summary:
symmetry = Fm-3m (225)
ρ = 1.99 g/cm3
energy of formation = 0.3 eV/f.u.

a b c (Å): 5.1659 5.1659 5.1659
angles (deg): 60.00 60.00 60.00
Atoms (fractional coordinates):
Al (0.2500, 0.2500, 0.2500)
Al (0.7500, 0.7500, 0.7500)
Ca (0.5000, 0.5000, 0.5000)
Na (0.0000, 0.0000, 0.0000)


Record 2
Density functional theory data (GGA-PBE) for a geometry-optimized TmTcC structure.

Summary:
symmetry = P3m1 (156)
ρ = 9.78 g/cm3
energy of formation = -0.1 eV/f.u.

a b c (Å): 4.4302 3.5128 3.5128
angles (deg): 120.00 90.00 90.00
Atoms (fractional coordinates):
Tc (0.1715, 0.3333, 0.6667)
Tm (0.7010, 0.6667, 0.3333)
C (0.1275, 0.0000, 0.0000)


Record 3
Density functional theory data (GGA-PBE) for a geometry-optimized PrAl2Ni structure.

Summary:
symmetry = R-3m (166)
ρ = 5.20 g/cm3
energy of formation = -2.0 eV/f.u.

a b c (Å): 4.1351 4.1351 5.9665
angles (deg): 69.73 69.73 60.00
Atoms (fractional coordinates):
Al (0.2957, 0.2957, 0.1129)
Al (0.7043, 0.7043, 0.8871)
Pr (0.5000, 0.5000, 0.5000)
Ni (0.0000, 0.0000, 0.0000)


Record 4
Density functional theory data (GGA-PBE) for a geometry-optimized AcSm6Y2Tm structure.

Summary:
symmetry = C2/c (15)
ρ = 7.07 g/cm3
energy of formation = 1.3 eV/f.u.

a b c (Å): 9.5938 9.0009 9.0009
angles (deg): 116.58 92.40 92.40
Atoms (fractional coordinates):
Sm (0.1836, 0.5512, 0.0041)
Sm (0.3164, 0.9959, 0.4488)
Sm (0.5566, 0.7570, 0.1235)
Sm (0.1156, 0.7107, 0.4824)
Sm (0.6156, 0.4824, 0.7107)
Sm (0.9434, 0.8765, 0.2430)
Sm (0.8844, 0.2893, 0.5176)
Sm (0.8164, 0.4488, 0.9959)
Sm (0.0566, 0.1235, 0.7570)
Sm (0.6836, 0.0041, 0.5512)
Sm (0.3844, 0.5176, 0.2893)
Sm (0.4434, 0.2430, 0.8765)
Y (0.9493, 0.6859, 0.7914)
Y (0.0507, 0.3141, 0.2086)
Y (0.5507, 0.2086, 0.3141)
Y (0.4493, 0.7914, 0.6859)
Ac (0.7500, 0.0328, 0.9672)
Ac (0.2500, 0.9672, 0.0328)
Tm (0.2500, 0.4131, 0.5869)
Tm (0.7500, 0.5869, 0.4131)


Record 5
Density functional theory data (GGA-PBE) for a geometry-optimized TbY5Ge4 structure.

Summary:
symmetry = C2/m (12)
ρ = 5.19 g/cm3
energy of formation = -6.3 eV/f.u.

a b c (Å): 4.3333 7.7224 9.6600
angles (deg): 114.18 102.96 90.00
Last column: magnetic moment on the atom in μB.
Atoms (fractional coordinates):
Y (0.5000, 0.5000, 0.0000)  0.10
Y (0.1643, 0.9173, 0.3287)  0.08
Y (0.8357, 0.0827, 0.6713)  0.08
Y (0.8342, 0.5957, 0.6683)  0.08
Y (0.1658, 0.4043, 0.3317)  0.08
Ge (0.9986, 0.7436, 0.9972)  -0.01
Ge (0.3049, 0.8082, 0.6097)  0.00
Ge (0.6951, 0.1918, 0.3903)  0.00
Ge (0.0014, 0.2564, 0.0028)  -0.01
Tb (0.5000, 0.0000, 0.0000)  0.05


Record 6
Density functional theory data (GGA-PBE) for a geometry-optimized Tb2PrNi6 structure.

Summary:
symmetry = P6/mmm (191)
ρ = 8.33 g/cm3
energy of formation = -3.2 eV/f.u.

a b c (Å): 3.8920 6.9238 6.9238
angles (deg): 120.00 90.00 90.00
Last column: magnetic moment on the atom in μB.
Atoms (fractional coordinates):
Ni (0.5000, 0.3355, 0.3355)  0.13
Ni (0.5000, 0.0000, 0.3355)  0.13
Ni (0.5000, 0.6645, 0.0000)  0.13
Ni (0.5000, 0.6645, 0.6645)  0.13
Ni (0.5000, 0.0000, 0.6645)  0.13
Ni (0.5000, 0.3355, 0.0000)  0.13
Tb (0.0000, 0.3333, 0.6667)  -0.01
Tb (0.0000, 0.6667, 0.3333)  -0.01
Pr (0.0000, 0.0000, 0.0000)  -0.01


Record 7
Density functional theory data (GGA-PBE) for a geometry-optimized AlZnOs2 structure.

Summary:
symmetry = F-43m (216)
ρ = 13.72 g/cm3
energy of formation = 0.7 eV/f.u.

a b c (Å): 4.3253 4.3253 4.3253
angles (deg): 60.00 60.00 60.00
Atoms (fractional coordinates):
Zn (0.2500, 0.2500, 0.2500)
Al (0.5000, 0.5000, 0.5000)
Os (0.0000, 0.0000, 0.0000)
Os (0.7500, 0.7500, 0.7500)